[1]
CdFe2GeBi: optimized geometry, PBE.

The calculation puts the volume at 26.5 Å³ per atom. The density of states at the Fermi level is 7.9 states/eV/cell. For the formation energy, the calculation gives 1407 meV/atom. The calculation puts the electronic total energy at -3.86 eV per atom. As for the crystal system: tetragonal. As for the spin magnetization: 5.89 μB/f.u.

The space group is P4/mmm (No. 123) and the conventional cell measures 4.894, 4.894 and 5.535 Å, with angles of 90.00, 90.00 and 90.00 degrees. The distinct sites, in fractional coordinates, are Cd at (0.000, 0.000, 0.000), Fe at (0.000, 0.500, 0.000), Ge at (0.500, 0.500, 0.500) and Bi at (0.000, 0.000, 0.500).


[2]
CuMo2Ru: optimized geometry, PBE.

As for the relative energy among the computed polymorphs: 0.0931 eV/atom. The calculation puts the volume at 14.5 Å³ per atom. The density of states at the Fermi level is 4.4 states/eV/cell. For the formation energy, the calculation gives 204 meV/atom. The calculation puts the electronic total energy at -8.55 eV per atom. As for the crystal system: tetragonal. As for the spin magnetization: 0.00 μB/f.u.

The space group is P4mm (No. 99) and the conventional cell measures 3.209, 3.209 and 5.650 Å, with angles of 90.00, 90.00 and 90.00 degrees. The distinct sites, in fractional coordinates, are Cu at (0.000, 0.000, 0.000), Mo at (0.000, 0.000, 0.504), Mo at (0.500, 0.500, 0.237) and Ru at (0.500, 0.500, 0.764).


[3]
ScTlOs2: optimized geometry, PBE.

The calculation puts the volume at 17.4 Å³ per atom. The density of states at the Fermi level is 12.4 states/eV/cell. For the formation energy, the calculation gives 444 meV/atom. The calculation puts the electronic total energy at -7.34 eV per atom. As for the crystal system: tetragonal. As for the spin magnetization: 0.00 μB/f.u.

The space group is I4/mmm (No. 139) and the conventional cell measures 4.117, 4.117 and 8.212 Å, with angles of 90.00, 90.00 and 90.00 degrees. The distinct sites, in fractional coordinates, are Sc at (0.000, 0.000, 0.000), Tl at (0.000, 0.000, 0.500) and Os at (0.000, 0.500, 0.250).


[4]
Nd3SnSe: optimized geometry, PBE.

As for the relative energy among the computed polymorphs: 0.0000 eV/atom. The calculation puts the volume at 30.4 Å³ per atom. The density of states at the Fermi level is 18.8 states/eV/cell. The calculation puts the electronic total energy at -5.42 eV per atom. As for the crystal system: orthorhombic. The uncorrected formation energy comes out at -1.07 eV/atom. As for the spin magnetization: 0.00 μB/f.u.

The space group is Pnma (No. 62) and the conventional cell measures 8.826, 4.321 and 15.932 Å, with angles of 90.00, 90.00 and 90.00 degrees. The distinct sites, in fractional coordinates, are Nd at (0.021, 0.250, 0.110), Nd at (0.153, 0.250, 0.538), Nd at (0.170, 0.750, 0.284), Sn at (0.108, 0.750, 0.691) and Se at (0.187, 0.250, 0.948).